No. 1
Below is HoBeSi2Tc after structural relaxation, with properties calculated at the PBE level.

For the energy relative to the elements, uncorrected, the calculation gives -498 meV per atom. Its density of states at the Fermi level is 0.674 states/eV per atom. Its magnetization is 0.0 μB/cell. The volume is 15.79 A^3/atom.

The space group is I-4m2 (No. 119) and the conventional cell measures 3.8815, 3.8815 and 10.4823 Å, with angles of 90.00, 90.00 and 90.00 degrees. The distinct sites, in fractional coordinates, are Ho at (0.0000, 0.0000, 0.0000), Be at (0.0000, 0.5000, 0.7500), Si at (0.0000, 0.0000, 0.3837) and Tc at (0.0000, 0.5000, 0.2500).



No. 2
Below is HoThBe2Si2 after structural relaxation, with properties calculated at the PBE level.

For the energy relative to the elements, uncorrected, the calculation gives -650 meV per atom. Its density of states at the Fermi level is 0.715 states/eV per atom. Its magnetization is 0.0 μB/cell. The volume is 18.11 A^3/atom.

The space group is P-3m1 (No. 164) and the conventional cell measures 3.8991, 3.8991 and 8.2511 Å, with angles of 90.00, 90.00 and 120.00 degrees. The distinct sites, in fractional coordinates, are Ho at (0.0000, 0.0000, 0.0000), Th at (0.0000, 0.0000, 0.5000), Be at (0.3333, 0.6667, 0.2419) and Si at (0.3333, 0.6667, 0.7604).



Q: What is the energy relative to the elements, uncorrected in the second record?
A: -650 meV per atom



Q: Which value of energy relative to the elements, uncorrected does entry 1 give?
A: -498 meV per atom



Copy entry 1 word for word.
Below is HoBeSi2Tc after structural relaxation, with properties calculated at the PBE level.

For the energy relative to the elements, uncorrected, the calculation gives -498 meV per atom. Its density of states at the Fermi level is 0.674 states/eV per atom. Its magnetization is 0.0 μB/cell. The volume is 15.79 A^3/atom.

The space group is I-4m2 (No. 119) and the conventional cell measures 3.8815, 3.8815 and 10.4823 Å, with angles of 90.00, 90.00 and 90.00 degrees. The distinct sites, in fractional coordinates, are Ho at (0.0000, 0.0000, 0.0000), Be at (0.0000, 0.5000, 0.7500), Si at (0.0000, 0.0000, 0.3837) and Tc at (0.0000, 0.5000, 0.2500).



Please write out number 2 again, unchanged.
Below is HoThBe2Si2 after structural relaxation, with properties calculated at the PBE level.

For the energy relative to the elements, uncorrected, the calculation gives -650 meV per atom. Its density of states at the Fermi level is 0.715 states/eV per atom. Its magnetization is 0.0 μB/cell. The volume is 18.11 A^3/atom.

The space group is P-3m1 (No. 164) and the conventional cell measures 3.8991, 3.8991 and 8.2511 Å, with angles of 90.00, 90.00 and 120.00 degrees. The distinct sites, in fractional coordinates, are Ho at (0.0000, 0.0000, 0.0000), Th at (0.0000, 0.0000, 0.5000), Be at (0.3333, 0.6667, 0.2419) and Si at (0.3333, 0.6667, 0.7604).